Entry 1:
A geometry-optimized PmErAgGe structure, computed with PBE-GGA.

The structure in CIF format:
```
data_PmErAgGe
_chemical_formula_sum 'Pm4 Er4 Ag4 Ge4'
_symmetry_space_group_name_H-M 'F -4 3 m'
_symmetry_Int_Tables_number 216
_symmetry_space_group_name_Hall 'F -4 2 3'
_cell_length_a 7.2507
_cell_length_b 7.2507
_cell_length_c 7.2507
_cell_angle_alpha 90.00
_cell_angle_beta 90.00
_cell_angle_gamma 90.00
loop_
_atom_site_label
_atom_site_fract_x
_atom_site_fract_y
_atom_site_fract_z
Pm1 0.0000 0.0000 0.0000
Er1 0.0000 0.0000 0.5000
Ag1 0.2500 0.2500 0.2500
Ge1 0.2500 0.2500 0.7500
```

The density of states at the Fermi level comes out at 14.6 states/eV/cell. Its calculated total energy is -4.71 eV per atom. The total magnetic moment comes out at 0.00 Bohr magnetons per cell.

=====

Entry 2:
A geometry-optimized La2Nd4HoTm structure, computed with PBE-GGA.

The structure in CIF format:
```
data_La2Nd4HoTm
_chemical_formula_sum 'La2 Nd4 Ho1 Tm1'
_symmetry_space_group_name_H-M 'P 1 2/m 1'
_symmetry_Int_Tables_number 10
_symmetry_space_group_name_Hall '-P 2y'
_cell_length_a 5.1390
_cell_length_b 5.1716
_cell_length_c 10.3862
_cell_angle_alpha 90.00
_cell_angle_beta 90.10
_cell_angle_gamma 90.00
loop_
_atom_site_label
_atom_site_fract_x
_atom_site_fract_y
_atom_site_fract_z
La1 0.0000 0.0000 0.0000
La2 0.5000 0.5000 0.5000
Nd1 0.9998 0.5000 0.2489
Nd2 0.5003 0.0000 0.2500
Ho1 0.0000 0.0000 0.5000
Tm1 0.5000 0.5000 0.0000
```

The density of states at the Fermi level comes out at 13.9 states/eV/cell. Its calculated total energy is -4.72 eV per atom. The total magnetic moment comes out at 0.00 Bohr magnetons per cell.

=====

Entry 3:
A geometry-optimized Li3Tc structure, computed with PBE-GGA.

The structure in CIF format:
```
data_Li3Tc
_chemical_formula_sum 'Li6 Tc2'
_symmetry_space_group_name_H-M 'I 4/m m m'
_symmetry_Int_Tables_number 139
_symmetry_space_group_name_Hall '-I 4 2'
_cell_length_a 3.8112
_cell_length_b 3.8112
_cell_length_c 8.2158
_cell_angle_alpha 90.00
_cell_angle_beta 90.00
_cell_angle_gamma 90.00
loop_
_atom_site_label
_atom_site_fract_x
_atom_site_fract_y
_atom_site_fract_z
Li1 0.0000 0.0000 0.0000
Li2 0.0000 0.5000 0.2500
Tc1 0.0000 0.0000 0.5000
```

The density of states at the Fermi level comes out at 8.1 states/eV/cell. The relative energy among the computed polymorphs is 472 meV/atom. The total magnetic moment comes out at 4.12 Bohr magnetons per cell.

=====

Entry 4:
A geometry-optimized Ba2NdPd9 structure, computed with PBE-GGA.

The structure in CIF format:
```
data_Ba2NdPd9
_chemical_formula_sum 'Ba6 Nd3 Pd27'
_symmetry_space_group_name_H-M 'R -3 m'
_symmetry_Int_Tables_number 166
_symmetry_space_group_name_Hall '-R 3 2"'
_cell_length_a 5.5082
_cell_length_b 5.5082
_cell_length_c 28.0319
_cell_angle_alpha 90.00
_cell_angle_beta 90.00
_cell_angle_gamma 120.00
loop_
_atom_site_label
_atom_site_fract_x
_atom_site_fract_y
_atom_site_fract_z
Ba1 0.0000 0.0000 0.1401
Nd1 0.0000 0.0000 0.0000
Pd1 0.0000 0.0000 0.3326
Pd2 0.0000 0.0000 0.5000
Pd3 0.0005 0.5003 0.0803
```

The density of states at the Fermi level comes out at 25.1 states/eV/cell. Its calculated total energy is -5.13 eV per atom. The total magnetic moment comes out at 0.00 Bohr magnetons per cell.

=====

Entry 5:
A geometry-optimized SrEuCd4 structure, computed with PBE-GGA.

The structure in CIF format:
```
data_SrEuCd4
_chemical_formula_sum 'Sr4 Eu4 Cd16'
_symmetry_space_group_name_H-M 'F -4 3 m'
_symmetry_Int_Tables_number 216
_symmetry_space_group_name_Hall 'F -4 2 3'
_cell_length_a 8.7273
_cell_length_b 8.7273
_cell_length_c 8.7273
_cell_angle_alpha 90.00
_cell_angle_beta 90.00
_cell_angle_gamma 90.00
loop_
_atom_site_label
_atom_site_fract_x
_atom_site_fract_y
_atom_site_fract_z
Sr1 0.0000 0.0000 0.0000
Eu1 0.2500 0.2500 0.7500
Cd1 0.1248 0.1248 0.3752
```

The density of states at the Fermi level comes out at 41.9 states/eV/cell. Its calculated total energy is -2.91 eV per atom. The total magnetic moment comes out at 29.25 Bohr magnetons per cell.

=====

Entry 6:
A geometry-optimized SmEuDyCd structure, computed with PBE-GGA.

The structure in CIF format:
```
data_SmEuDyCd
_chemical_formula_sum 'Sm4 Eu4 Dy4 Cd4'
_symmetry_space_group_name_H-M 'F -4 3 m'
_symmetry_Int_Tables_number 216
_symmetry_space_group_name_Hall 'F -4 2 3'
_cell_length_a 7.8459
_cell_length_b 7.8459
_cell_length_c 7.8459
_cell_angle_alpha 90.00
_cell_angle_beta 90.00
_cell_angle_gamma 90.00
loop_
_atom_site_label
_atom_site_fract_x
_atom_site_fract_y
_atom_site_fract_z
Sm1 0.0000 0.0000 0.0000
Eu1 0.2500 0.2500 0.2500
Dy1 0.0000 0.0000 0.5000
Cd1 0.2500 0.2500 0.7500
```

The density of states at the Fermi level comes out at 17.1 states/eV/cell. Its calculated total energy is -5.14 eV per atom. The total magnetic moment comes out at 28.64 Bohr magnetons per cell.

=====

Entry 7:
A geometry-optimized Ca3Ac2Sn2 structure, computed with PBE-GGA.

The structure in CIF format:
```
data_Ca3Ac2Sn2
_chemical_formula_sum 'Ca6 Ac4 Sn4'
_symmetry_space_group_name_H-M 'C 1 2/m 1'
_symmetry_Int_Tables_number 12
_symmetry_space_group_name_Hall '-C 2y'
_cell_length_a 12.7429
_cell_length_b 4.8188
_cell_length_c 9.0963
_cell_angle_alpha 90.00
_cell_angle_beta 112.55
_cell_angle_gamma 90.00
loop_
_atom_site_label
_atom_site_fract_x
_atom_site_fract_y
_atom_site_fract_z
Ca1 0.0000 0.0000 0.0000
Ca2 0.1271 0.0000 0.4344
Ac1 0.1480 0.5000 0.8080
Sn1 0.1619 0.5000 0.2126
```

The density of states at the Fermi level comes out at 10.4 states/eV/cell. Its calculated total energy is -3.65 eV per atom. The total magnetic moment comes out at 3.40 Bohr magnetons per cell.

=====

Entry 8:
A geometry-optimized MgTa2Os structure, computed with PBE-GGA.

The structure in CIF format:
```
data_MgTa2Os
_chemical_formula_sum 'Mg3 Ta6 Os3'
_symmetry_space_group_name_H-M 'R 3 m'
_symmetry_Int_Tables_number 160
_symmetry_space_group_name_Hall 'R 3 -2"'
_cell_length_a 2.9163
_cell_length_b 2.9163
_cell_length_c 28.6171
_cell_angle_alpha 90.00
_cell_angle_beta 90.00
_cell_angle_gamma 120.00
loop_
_atom_site_label
_atom_site_fract_x
_atom_site_fract_y
_atom_site_fract_z
Mg1 0.0000 0.0000 0.0000
Ta1 0.0000 0.0000 0.5132
Ta2 0.0000 0.0000 0.7586
Os1 0.0000 0.0000 0.2537
```

The density of states at the Fermi level comes out at 15.4 states/eV/cell. Its calculated total energy is -8.92 eV per atom. The total magnetic moment comes out at 0.00 Bohr magnetons per cell.

=====

Entry 9:
A geometry-optimized MnH4Pd8 structure, computed with PBE-GGA.

The structure in CIF format:
```
data_MnH4Pd8
_chemical_formula_sum 'Mn1 H4 Pd8'
_symmetry_space_group_name_H-M 'P -1'
_symmetry_Int_Tables_number 2
_symmetry_space_group_name_Hall '-P 1'
_cell_length_a 2.9167
_cell_length_b 7.4841
_cell_length_c 7.5344
_cell_angle_alpha 105.20
_cell_angle_beta 101.00
_cell_angle_gamma 100.91
loop_
_atom_site_label
_atom_site_fract_x
_atom_site_fract_y
_atom_site_fract_z
Mn1 0.0000 0.0000 0.0000
H1 0.1655 0.7542 0.5764
H2 0.3676 0.5128 0.1923
Pd1 0.0018 0.3321 0.6783
Pd2 0.3263 0.3300 0.3259
Pd3 0.3398 0.6763 0.9978
Pd4 0.3434 0.0078 0.6796
```

The density of states at the Fermi level comes out at 4.6 states/eV/cell. Its calculated total energy is -5.05 eV per atom. The total magnetic moment comes out at 4.77 Bohr magnetons per cell.

=====

Entry 10:
A geometry-optimized La3Ho3Th2 structure, computed with PBE-GGA.

The structure in CIF format:
```
data_La3Ho3Th2
_chemical_formula_sum 'La3 Ho3 Th2'
_symmetry_space_group_name_H-M 'P -1'
_symmetry_Int_Tables_number 2
_symmetry_space_group_name_Hall '-P 1'
_cell_length_a 6.2410
_cell_length_b 6.2825
_cell_length_c 8.0766
_cell_angle_alpha 104.78
_cell_angle_beta 104.64
_cell_angle_gamma 110.12
loop_
_atom_site_label
_atom_site_fract_x
_atom_site_fract_y
_atom_site_fract_z
La1 0.0000 0.0000 0.0000
La2 0.1340 0.6332 0.2675
Ho1 0.3740 0.8735 0.7472
Ho2 0.5000 0.5000 0.0000
Th1 0.2529 0.2528 0.5064
```

The density of states at the Fermi level comes out at 12.4 states/eV/cell. The relative energy among the computed polymorphs is 4 meV/atom. The total magnetic moment comes out at 0.00 Bohr magnetons per cell.

=====

Entry 11:
A geometry-optimized Ac2PS structure, computed with PBE-GGA.

The structure in CIF format:
```
data_Ac2PS
_chemical_formula_sum 'Ac8 P4 S4'
_symmetry_space_group_name_H-M 'F m -3 m'
_symmetry_Int_Tables_number 225
_symmetry_space_group_name_Hall '-F 4 2 3'
_cell_length_a 7.4697
_cell_length_b 7.4697
_cell_length_c 7.4697
_cell_angle_alpha 90.00
_cell_angle_beta 90.00
_cell_angle_gamma 90.00
loop_
_atom_site_label
_atom_site_fract_x
_atom_site_fract_y
_atom_site_fract_z
Ac1 0.2500 0.2500 0.2500
P1 0.0000 0.0000 0.0000
S1 0.0000 0.0000 0.5000
```

The density of states at the Fermi level comes out at 9.0 states/eV/cell. The relative energy among the computed polymorphs is 333 meV/atom. The total magnetic moment comes out at 0.01 Bohr magnetons per cell. The formation energy from raw total energies comes out at -1.47 eV per atom.

=====

Entry 12:
A geometry-optimized Hf2V2Pt structure, computed with PBE-GGA.

The structure in CIF format:
```
data_Hf2V2Pt
_chemical_formula_sum 'Hf4 V4 Pt2'
_symmetry_space_group_name_H-M 'P 4/m b m'
_symmetry_Int_Tables_number 127
_symmetry_space_group_name_Hall '-P 4 2ab'
_cell_length_a 6.5530
_cell_length_b 6.5530
_cell_length_c 4.0994
_cell_angle_alpha 90.00
_cell_angle_beta 90.00
_cell_angle_gamma 90.00
loop_
_atom_site_label
_atom_site_fract_x
_atom_site_fract_y
_atom_site_fract_z
Hf1 0.1731 0.3269 0.0000
V1 0.1280 0.6280 0.5000
Pt1 0.0000 0.0000 0.5000
```

The density of states at the Fermi level comes out at 11.3 states/eV/cell. Its calculated total energy is -9.04 eV per atom. The total magnetic moment comes out at 0.00 Bohr magnetons per cell.